## DyHfCoTc (GGA-PBE)

Data for crystalline DyHfCoTc at its relaxed geometry.

a b c (Å): 6.572 6.572 6.572
angles (deg): 90.00 90.00 90.00
Space group F-43m (No. 216)
Inequivalent atoms, fractional coordinates:
Dy (0.000, 0.000, 0.000) [4 per cell]
Hf (0.000, 0.000, 0.500) [4 per cell]
Co (0.250, 0.250, 0.750) [4 per cell]
Tc (0.250, 0.250, 0.250) [4 per cell]

Summary:
Crystal system: cubic
Fermi-level density of states: 4.1 states/eV/f.u.
Spin magnetization: 0.0 μB/cell
Formation enthalpy at 0 K: -0.20 eV per atom